VASP calculation (GGA-PBE) on crystalline DyGa3Ru2 at its relaxed geometry.

Cell lengths 5.3956, 5.3956, 8.2618 Å; angles 90.00, 90.00, 120.00 degrees
Each line ends with the local moment (μB).
Element x y z (fractional)
1 Ru 0.6667 0.3333 0.0000  0.27
2 Ru 0.3333 0.6667 0.5000  0.27
3 Ru 0.6667 0.3333 0.5000  0.27
4 Ru 0.3333 0.6667 0.0000  0.27
5 Ga 0.5005 0.5005 0.2500  0.00
6 Ga 0.5005 0.0000 0.7500  0.00
7 Ga 0.4995 0.4995 0.7500  0.00
8 Ga 0.4995 0.0000 0.2500  0.00
9 Ga 0.0000 0.5005 0.7500  0.00
10 Ga 0.0000 0.4995 0.2500  0.00
11 Dy 0.0000 0.0000 0.0000  0.09
12 Dy 0.0000 0.0000 0.5000  0.09

energy of formation = -0.440 eV/atom
space group = P6/mmm



VASP calculation (GGA-PBE) on crystalline Cr2RhWC at its relaxed geometry.

Cell lengths 3.8698, 3.8698, 4.1100 Å; angles 90.00, 90.00, 90.00 degrees
Each line ends with the local moment (μB).
Element x y z (fractional)
1 C 0.0000 0.0000 0.0000  -0.02
2 Rh 0.5000 0.5000 0.5000  0.03
3 Cr 0.0000 0.5000 0.0000  0.48
4 Cr 0.5000 0.0000 0.0000  0.48
5 W 0.0000 0.0000 0.5000  -0.10

energy of formation = 0.030 eV/atom
space group = P4/mmm



VASP calculation (GGA-PBE) on crystalline LiCrB3 at its relaxed geometry.

Cell lengths 3.4341, 3.4341, 3.4341 Å; angles 90.00, 90.00, 90.00 degrees
Element x y z (fractional)
1 B 0.0000 0.5000 0.0000
2 B 0.5000 0.0000 0.0000
3 B 0.0000 0.0000 0.5000
4 Cr 0.5000 0.5000 0.5000
5 Li 0.0000 0.0000 0.0000

energy of formation = 1.727 eV/atom
space group = Pm-3m



VASP calculation (GGA-PBE) on crystalline RbHgC2N2ClO at its relaxed geometry.

Cell lengths 9.2858, 9.2858, 10.9139 Å; angles 90.00, 90.00, 151.25 degrees
Each line ends with the local moment (μB).
Element x y z (fractional)
1 N 0.8291 0.1709 0.4122  0.03
2 N 0.8291 0.1709 0.0878  0.03
3 N 0.1709 0.8291 0.5878  0.03
4 N 0.1709 0.8291 0.9122  0.03
5 C 0.8918 0.1082 0.0595  0.02
6 C 0.1082 0.8918 0.9405  0.02
7 C 0.1082 0.8918 0.5595  0.02
8 C 0.8918 0.1082 0.4405  0.02
9 Rb 0.3030 0.6970 0.7500  0.00
10 Rb 0.6970 0.3030 0.2500  0.00
11 Hg 0.0000 0.0000 0.0000  0.00
12 Hg 0.0000 0.0000 0.5000  0.00
13 Cl 0.0694 0.9306 0.2500  0.01
14 Cl 0.9306 0.0694 0.7500  0.01
15 O 0.6647 0.3353 0.7500  1.48
16 O 0.3353 0.6647 0.2500  1.48

space group = Cmcm
energy relative to the elements, uncorrected = 257.2 meV/atom



VASP calculation (GGA-PBE) on crystalline HoPuFe2 at its relaxed geometry.

Cell lengths 3.2875, 4.7438, 4.7438 Å; angles 90.00, 90.00, 90.00 degrees
Each line ends with the local moment (μB).
Element x y z (fractional)
1 Pu 0.5000 0.0000 0.0000  5.24
2 Fe 0.0000 0.5000 0.0000  -1.98
3 Fe 0.0000 0.0000 0.5000  -1.98
4 Ho 0.5000 0.5000 0.5000  0.43

energy of formation = 0.076 eV/atom
space group = P4/mmm



VASP calculation (GGA-PBE) on crystalline MnCoW2 at its relaxed geometry.

Cell lengths 8.9065, 8.9065, 8.9065 Å; angles 17.45, 17.45, 17.45 degrees
Each line ends with the local moment (μB).
Element x y z (fractional)
1 W 0.9987 0.9987 0.9987  -0.01
2 W 0.5013 0.5013 0.5013  -0.01
3 Mn 0.7500 0.7500 0.7500  0.84
4 Co 0.2500 0.2500 0.2500  0.76

energy of formation = 0.369 eV/atom
space group = R-3m



VASP calculation (GGA-PBE) on crystalline EuLuPdAu at its relaxed geometry.

Cell lengths 5.0591, 5.0591, 5.0591 Å; angles 60.00, 60.00, 60.00 degrees
Each line ends with the local moment (μB).
Element x y z (fractional)
1 Pd 0.5000 0.5000 0.5000  0.00
2 Au 0.0000 0.0000 0.0000  0.02
3 Lu 0.2500 0.2500 0.2500  0.06
4 Eu 0.7500 0.7500 0.7500  6.77

energy of formation = -0.757 eV/atom
space group = F-43m



VASP calculation (GGA-PBE) on crystalline Be3SiH at its relaxed geometry.

Cell lengths 4.1669, 4.1669, 4.1669 Å; angles 90.00, 90.00, 90.00 degrees
Element x y z (fractional)
1 Be 0.0000 0.5000 0.0000
2 Be 0.0000 0.0000 0.5000
3 Be 0.5000 0.0000 0.0000
4 H 0.5000 0.5000 0.5000
5 Si 0.0000 0.0000 0.0000

space group = Pm-3m



Calculated D(E_F) (states/eV per atom), listed in the same order as above: 1.0441, 0.8937, 1.1732, 0.2086, 1.6291, 1.4041, 1.9492, 0.2573
Calculated total DFT energy (no corrections) (Ha/atom), listed in the same order as above: -0.2136, -0.3574, -0.1686, -0.1889, -0.3264, -0.3740, -0.2416, -0.1038